No. 1
! BeCoRe | the Alexandria database | PBE | relaxed; values from VASP
! * magnetic moment: 0.000 μB/atom
! * energy above the most stable polymorph in this dataset: 17.5 kJ per mole of atoms
! * final energy: -47.07 eV per cell
&SYSTEM
  ibrav = 0, nat = 6, ntyp = 3
/
ATOMIC_SPECIES
Be 9.01 Be.upf
Co 58.93 Co.upf
Re 186.21 Re.upf
ATOMIC_POSITIONS crystal
Be 0.0000 0.0000 0.0000
Be 0.1316 0.1316 0.3988
Co 0.6468 0.6468 0.8977
Co 0.7773 0.7773 0.4410
Re 0.3248 0.3248 0.9546
Re 0.4627 0.4627 0.4944
CELL_PARAMETERS angstrom
6.1532 -1.3152 0.0000
6.1532 1.3152 0.0000
-0.3288 0.0000 4.1283

No. 2
! BeCo2Re | the Alexandria database | PBE | relaxed; values from VASP
! * magnetic moment: 0.560 μB/atom
! * final energy: -29.83 eV per cell
&SYSTEM
  ibrav = 0, nat = 4, ntyp = 3
/
ATOMIC_SPECIES
Be 9.01 Be.upf
Co 58.93 Co.upf
Re 186.21 Re.upf
ATOMIC_POSITIONS crystal
Be 0.0000 0.0000 0.0000
Co 0.0000 0.5000 0.5000
Co 0.5000 0.0000 0.5000
Re 0.5000 0.5000 0.0000
CELL_PARAMETERS angstrom
2.4299 -3.9987 0.0000
2.4299 3.9987 0.0000
-0.8826 0.0000 2.3676

No. 3
! BeCo2Re | the Alexandria database | PBE | relaxed; values from VASP
! * magnetic moment: 0.000 μB/atom
! * final energy: -30.27 eV per cell
&SYSTEM
  ibrav = 0, nat = 4, ntyp = 3
/
ATOMIC_SPECIES
Be 9.01 Be.upf
Co 58.93 Co.upf
Re 186.21 Re.upf
ATOMIC_POSITIONS crystal
Be 0.0000 0.0000 0.0000
Co 0.2500 0.7500 0.5000
Co 0.5000 0.5000 0.0000
Re 0.7500 0.2500 0.5000
CELL_PARAMETERS angstrom
-1.7473 1.7473 3.6182
1.7473 -1.7473 3.6182
1.7473 1.7473 -3.6182

No. 4
! Be3CoRe | the Alexandria database | PBE | relaxed; values from VASP
! * magnetic moment: 0.373 μB/atom
! * energy above the most stable polymorph in this dataset: 63.6 kJ per mole of atoms
! * final energy: -23.98 eV per cell
&SYSTEM
  ibrav = 0, nat = 5, ntyp = 3
/
ATOMIC_SPECIES
Be 9.01 Be.upf
Co 58.93 Co.upf
Re 186.21 Re.upf
ATOMIC_POSITIONS crystal
Be 0.0000 0.0000 0.5000
Be 0.0000 0.5000 0.0000
Be 0.5000 0.0000 0.0000
Co 0.5000 0.5000 0.5000
Re 0.0000 0.0000 0.0000
CELL_PARAMETERS angstrom
4.1678 0.0000 0.0000
0.0000 4.1678 0.0000
0.0000 0.0000 4.1678

No. 5
! BeCoRe | the Alexandria database | PBE | relaxed; values from VASP
! * magnetic moment: 0.059 μB/atom
! * energy above the most stable polymorph in this dataset: 23.3 kJ per mole of atoms
! * final energy: -46.71 eV per cell
&SYSTEM
  ibrav = 0, nat = 6, ntyp = 3
/
ATOMIC_SPECIES
Be 9.01 Be.upf
Co 58.93 Co.upf
Re 186.21 Re.upf
ATOMIC_POSITIONS crystal
Be 0.0000 0.0000 0.0000
Be 0.3036 0.0000 0.6099
Co 0.1452 0.5000 0.2921
Co 0.4700 0.5000 0.9411
Re 0.6471 0.0000 0.2957
Re 0.8290 0.5000 0.6602
CELL_PARAMETERS angstrom
4.0333 0.0000 0.0000
0.0000 2.9352 0.0000
-2.0123 0.0000 5.7450

No. 6
! BeCoRe | the Alexandria database | PBE | relaxed; values from VASP
! * magnetic moment: 0.000 μB/atom
! * energy above the most stable polymorph in this dataset: 14.9 kJ per mole of atoms
! * final energy: -47.23 eV per cell
&SYSTEM
  ibrav = 0, nat = 6, ntyp = 3
/
ATOMIC_SPECIES
Be 9.01 Be.upf
Co 58.93 Co.upf
Re 186.21 Re.upf
ATOMIC_POSITIONS crystal
Be 0.0000 0.0000 0.0000
Be 0.5000 0.5000 0.5000
Co 0.1563 0.8437 0.5000
Co 0.8437 0.1563 0.5000
Re 0.3380 0.6620 0.0000
Re 0.6620 0.3380 0.0000
CELL_PARAMETERS angstrom
1.9652 -4.4042 0.0000
1.9652 4.4042 0.0000
0.0000 0.0000 3.8698

No. 7
! BeCoRe | the Alexandria database | PBE | relaxed; values from VASP
! * magnetic moment: 0.000 μB/atom
! * energy above the most stable polymorph in this dataset: 51.5 kJ per mole of atoms
! * final energy: -44.96 eV per cell
&SYSTEM
  ibrav = 0, nat = 6, ntyp = 3
/
ATOMIC_SPECIES
Be 9.01 Be.upf
Co 58.93 Co.upf
Re 186.21 Re.upf
ATOMIC_POSITIONS crystal
Be 0.2500 0.2500 0.1911
Be 0.7500 0.7500 0.8089
Co 0.2500 0.2500 0.8288
Co 0.7500 0.7500 0.1712
Re 0.2500 0.7500 0.5000
Re 0.7500 0.2500 0.5000
CELL_PARAMETERS angstrom
3.5396 0.0000 0.0000
0.0000 3.5396 0.0000
0.0000 0.0000 5.9190

No. 8
! BeCo2Re | the Alexandria database | PBE | relaxed; values from VASP
! * magnetic moment: 0.000 μB/atom
! * final energy: -30.51 eV per cell
&SYSTEM
  ibrav = 0, nat = 4, ntyp = 3
/
ATOMIC_SPECIES
Be 9.01 Be.upf
Co 58.93 Co.upf
Re 186.21 Re.upf
ATOMIC_POSITIONS crystal
Be 0.0000 0.0000 0.0000
Co 0.5000 0.5000 0.2358
Co 0.5000 0.5000 0.7642
Re 0.0000 0.0000 0.5000
CELL_PARAMETERS angstrom
2.5908 0.0000 0.0000
0.0000 3.4908 0.0000
0.0000 0.0000 4.9185

No. 9
! BeCoRe | the Alexandria database | PBE | relaxed; values from VASP
! * magnetic moment: 0.000 μB/atom
! * energy above the most stable polymorph in this dataset: 9.8 kJ per mole of atoms
! * final energy: -95.10 eV per cell
&SYSTEM
  ibrav = 0, nat = 12, ntyp = 3
/
ATOMIC_SPECIES
Be 9.01 Be.upf
Co 58.93 Co.upf
Re 186.21 Re.upf
ATOMIC_POSITIONS crystal
Be 0.2283 0.2500 0.1304
Be 0.2717 0.7500 0.6304
Be 0.7283 0.2500 0.3696
Be 0.7717 0.7500 0.8696
Co 0.1446 0.7500 0.9397
Co 0.3554 0.2500 0.4397
Co 0.6446 0.7500 0.5603
Co 0.8554 0.2500 0.0603
Re 0.0280 0.7500 0.3315
Re 0.4720 0.2500 0.8315
Re 0.5280 0.7500 0.1685
Re 0.9720 0.2500 0.6685
CELL_PARAMETERS angstrom
5.8719 0.0000 0.0000
0.0000 3.2513 0.0000
0.0000 0.0000 6.6894

No. 10
! BeCoRe | the Alexandria database | PBE | relaxed; values from VASP
! * magnetic moment: 0.453 μB/atom
! * energy above the most stable polymorph in this dataset: 38.5 kJ per mole of atoms
! * final energy: -22.88 eV per cell
&SYSTEM
  ibrav = 0, nat = 3, ntyp = 3
/
ATOMIC_SPECIES
Be 9.01 Be.upf
Co 58.93 Co.upf
Re 186.21 Re.upf
ATOMIC_POSITIONS crystal
Be 0.0000 0.0000 0.0000
Co 0.6667 0.3333 0.3040
Re 0.3333 0.6667 0.6530
CELL_PARAMETERS angstrom
2.6448 0.0000 0.0000
-1.3224 2.2904 0.0000
0.0000 0.0000 5.9195

No. 11
! Be4CoRe | the Alexandria database | PBE | relaxed; values from VASP
! * magnetic moment: 0.195 μB/atom
! * final energy: -35.72 eV per cell
&SYSTEM
  ibrav = 0, nat = 6, ntyp = 3
/
ATOMIC_SPECIES
Be 9.01 Be.upf
Co 58.93 Co.upf
Re 186.21 Re.upf
ATOMIC_POSITIONS crystal
Be 0.3769 0.3769 0.3769
Be 0.3769 0.3769 0.8694
Be 0.3769 0.8694 0.3769
Be 0.8694 0.3769 0.3769
Co 0.0000 0.0000 0.0000
Re 0.7500 0.7500 0.7500
CELL_PARAMETERS angstrom
0.0000 3.0214 3.0214
3.0214 0.0000 3.0214
3.0214 3.0214 0.0000

No. 12
! BeCoRe | the Alexandria database | PBE | relaxed; values from VASP
! * magnetic moment: 0.000 μB/atom
! * energy above the most stable polymorph in this dataset: 23.3 kJ per mole of atoms
! * final energy: -46.71 eV per cell
&SYSTEM
  ibrav = 0, nat = 6, ntyp = 3
/
ATOMIC_SPECIES
Be 9.01 Be.upf
Co 58.93 Co.upf
Re 186.21 Re.upf
ATOMIC_POSITIONS crystal
Be 0.1692 0.1692 0.0493
Be 0.8308 0.8308 0.9507
Co 0.6161 0.0302 0.4370
Co 0.9698 0.3839 0.5630
Re 0.2559 0.7441 0.5000
Re 0.5287 0.4713 0.0000
CELL_PARAMETERS angstrom
3.6663 -2.2456 0.0000
3.6663 2.2456 0.0000
-1.3930 0.0000 4.1419

Q: What is the final energy in the ninth record?
A: -95.10 eV per cell